Entry 1:
RbTi2Se2 after structural relaxation, computed with GGA-PBEsol.

Results
The uncorrected formation energy is -4.86 eV/f.u. Its space-group type is I4/mmm. For the calculated total energy, the calculation gives -0.222 Ha/atom. Its theoretical density is 4.9 Mg/m³. The value obtained for the total magnetization is 0.00 μB/f.u.

Unit cell a=3.9503 b=3.9503 c=7.8418 alpha=104.59 beta=104.59 gamma=90.00
Atoms (fractional coordinates):
Se 0.6382 0.6382 0.2765
Se 0.3618 0.3618 0.7235
Rb 0.0000 0.0000 0.0000
Ti 0.2500 0.7500 0.5000
Ti 0.7500 0.2500 0.5000

=====

Entry 2:
Li2Mn2OF6 after structural relaxation, computed with GGA-PBEsol.

Results
The uncorrected formation energy is -26.56 eV/f.u. Its space-group type is P-1. For the calculated total energy, the calculation gives -0.223 Ha/atom. Its theoretical density is 3.1 Mg/m³. The value obtained for the total magnetization is 8.00 μB/f.u.

Unit cell a=5.4014 b=6.1741 c=8.7154 alpha=72.51 beta=77.08 gamma=86.08
Atoms (fractional coordinates):
Mn 0.7933 0.8024 0.3025
Mn 0.2067 0.1976 0.6975
Mn 0.3399 0.0008 0.1758
Mn 0.6601 0.9992 0.8242
F 0.7097 0.9138 0.0469
F 0.1835 0.2893 0.4650
F 0.1461 0.7250 0.2214
F 0.7281 0.5065 0.3043
F 0.4012 0.2987 0.1594
F 0.5988 0.7013 0.8406
F 0.2719 0.4935 0.6957
F 0.2903 0.0862 0.9531
F 0.8539 0.2750 0.7786
F 0.8165 0.7107 0.5350
F 0.0634 0.9028 0.7423
F 0.9366 0.0972 0.2577
Li 0.5283 0.2431 0.3687
Li 0.0713 0.3883 0.2732
Li 0.4717 0.7569 0.6313
Li 0.9287 0.6117 0.7268
O 0.4732 0.9011 0.3586
O 0.5268 0.0989 0.6414

=====

Entry 3:
ZnSbF2 after structural relaxation, computed with GGA-PBEsol.

Results
The uncorrected formation energy is -3.38 eV/f.u. Its space-group type is Fm-3m. For the calculated total energy, the calculation gives -0.123 Ha/atom. Its theoretical density is 6.4 Mg/m³. The value obtained for the total magnetization is 0.00 μB/f.u.

Unit cell a=4.3664 b=4.3664 c=4.3664 alpha=60.00 beta=60.00 gamma=60.00
Atoms (fractional coordinates):
F 0.7500 0.7500 0.7500
F 0.2500 0.2500 0.2500
Zn 0.0000 0.0000 0.0000
Sb 0.5000 0.5000 0.5000

=====

Entry 4:
CaSi2Pb after structural relaxation, computed with GGA-PBEsol.

Results
The uncorrected formation energy is 0.00 eV/f.u. Its space-group type is Pmmm. For the calculated total energy, the calculation gives -0.162 Ha/atom. Its theoretical density is 5.5 Mg/m³. The value obtained for the total magnetization is 0.00 μB/f.u.

Unit cell a=3.1697 b=4.6850 c=6.1364 alpha=90.00 beta=90.00 gamma=90.00
Atoms (fractional coordinates):
Si 0.0000 0.0000 0.6937
Si 0.0000 0.0000 0.3063
Ca 0.5000 0.5000 0.5000
Pb 0.0000 0.5000 0.0000

=====

Among the records above, which one has the highest theoretical density?
ZnSbF2

=====

What is the calculated total energy in the third record?
-0.123 Ha/atom

=====

Please write out number 4 again, unchanged.
CaSi2Pb after structural relaxation, computed with GGA-PBEsol.

Results
The uncorrected formation energy is 0.00 eV/f.u. Its space-group type is Pmmm. For the calculated total energy, the calculation gives -0.162 Ha/atom. Its theoretical density is 5.5 Mg/m³. The value obtained for the total magnetization is 0.00 μB/f.u.

Unit cell a=3.1697 b=4.6850 c=6.1364 alpha=90.00 beta=90.00 gamma=90.00
Atoms (fractional coordinates):
Si 0.0000 0.0000 0.6937
Si 0.0000 0.0000 0.3063
Ca 0.5000 0.5000 0.5000
Pb 0.0000 0.5000 0.0000

=====

Number 3 is which compound?
ZnSbF2